Record 1
ZnSnBr6 | PBE | optimized geometry

Summary:
For the volume, the calculation gives 29.5 Å³/atom. The calculation puts the relative energy among the computed polymorphs at 41 meV per atom. Its space group is R-3. The value obtained for the total magnetization is 0.00 μB/cell. The value obtained for the density is 4.67 g/cm3. For the formation energy from raw total energies, the calculation gives -13.351 kcal/mol of atoms.

Cell: 7.141 7.141 7.141 Å, 56.39 56.39 56.39°
Atoms (fractional coordinates):
Zn (0.000, 0.000, 0.000)
Sn (0.500, 0.500, 0.500)
Br (0.094, 0.749, 0.404)
Br (0.251, 0.596, 0.906)
Br (0.404, 0.094, 0.749)
Br (0.596, 0.906, 0.251)
Br (0.749, 0.404, 0.094)
Br (0.906, 0.251, 0.596)


Record 2
CsLiCa2Ag | PBE | optimized geometry

Summary:
For the volume, the calculation gives 41.4 Å³/atom. Its space group is P4/mmm. The value obtained for the total magnetization is 0.00 μB/cell. The value obtained for the density is 2.63 g/cm3. The formation enthalpy at 0 K comes out at 0.08 eV per atom.

Cell: 5.960 5.960 5.834 Å, 90.00 90.00 90.00°
Atoms (fractional coordinates):
Cs (0.000, 0.000, 0.000)
Li (0.500, 0.500, 0.000)
Ca (0.000, 0.500, 0.500)
Ca (0.500, 0.000, 0.500)
Ag (0.500, 0.500, 0.500)


Record 3
In2AgAu4 | PBE | optimized geometry

Summary:
For the volume, the calculation gives 20.4 Å³/atom. The calculation puts the relative energy among the computed polymorphs at 0 meV per atom. Its space group is P2_1/m. The value obtained for the total magnetization is 0.00 μB/cell. The value obtained for the density is 13.11 g/cm3. The formation enthalpy at 0 K comes out at -0.07 eV per atom.

Cell: 7.328 5.601 7.538 Å, 90.00 112.90 90.00°
Atoms (fractional coordinates):
In (0.107, 0.250, 0.303)
In (0.244, 0.250, 0.794)
In (0.756, 0.750, 0.206)
In (0.893, 0.750, 0.697)
Ag (0.169, 0.750, 0.504)
Ag (0.831, 0.250, 0.496)
Au (0.073, 0.750, 0.101)
Au (0.347, 0.750, 0.918)
Au (0.451, 0.000, 0.297)
Au (0.451, 0.500, 0.297)
Au (0.549, 0.000, 0.703)
Au (0.549, 0.500, 0.703)
Au (0.653, 0.250, 0.082)
Au (0.927, 0.250, 0.899)


Record 4
Pm2CdTe4 | PBE | optimized geometry

Summary:
For the volume, the calculation gives 35.1 Å³/atom. Its space group is C2/m. The value obtained for the total magnetization is 0.00 μB/cell. The value obtained for the density is 6.17 g/cm3. For the formation energy from raw total energies, the calculation gives -25.075 kcal/mol of atoms.

Cell: 8.382 8.382 7.743 Å, 117.27 117.27 30.92°
Atoms (fractional coordinates):
Pm (0.241, 0.241, 0.253)
Pm (0.759, 0.759, 0.747)
Cd (0.500, 0.500, 0.500)
Te (0.127, 0.127, 0.786)
Te (0.384, 0.384, 0.707)
Te (0.616, 0.616, 0.293)
Te (0.873, 0.873, 0.214)


Record 5
Ho2BeAlPd6 | PBE | optimized geometry

Summary:
For the volume, the calculation gives 17.8 Å³/atom. Its space group is P-1. The value obtained for the total magnetization is 0.00 μB/cell. The value obtained for the density is 9.35 g/cm3. The formation enthalpy at 0 K comes out at -0.72 eV per atom.

Cell: 5.699 5.733 7.027 Å, 67.20 67.44 60.24°
Atoms (fractional coordinates):
Ho (0.168, 0.278, 0.282)
Ho (0.832, 0.722, 0.718)
Be (0.000, 0.000, 0.000)
Al (0.500, 0.500, 0.500)
Pd (0.150, 0.785, 0.285)
Pd (0.317, 0.179, 0.835)
Pd (0.317, 0.663, 0.840)
Pd (0.683, 0.337, 0.160)
Pd (0.683, 0.821, 0.165)
Pd (0.850, 0.215, 0.715)


Record 6
PuVGeOs | PBE | optimized geometry

Summary:
For the volume, the calculation gives 16.9 Å³/atom. Its space group is F-43m. The value obtained for the total magnetization is 5.88 μB/cell. The value obtained for the density is 13.71 g/cm3. The formation enthalpy at 0 K comes out at 0.17 eV per atom.

Cell: 4.572 4.572 4.572 Å, 60.00 60.00 60.00°
Atoms (fractional coordinates):
Pu (0.000, 0.000, 0.000)
V (0.750, 0.750, 0.750)
Ge (0.250, 0.250, 0.250)
Os (0.500, 0.500, 0.500)


Record 7
C7Se5 | PBE | optimized geometry

Summary:
For the volume, the calculation gives 13.2 Å³/atom. Its space group is I4mm. The value obtained for the total magnetization is 0.00 μB/cell. The value obtained for the density is 5.00 g/cm3. For the formation energy from raw total energies, the calculation gives 27.660 kcal/mol of atoms.

Cell: 6.282 6.282 6.282 Å, 97.96 97.96 136.31°
Atoms (fractional coordinates):
C (0.000, 0.000, 0.000)
C (0.180, 0.557, 0.377)
C (0.180, 0.803, 0.623)
C (0.429, 0.929, 0.500)
C (0.557, 0.180, 0.377)
C (0.803, 0.180, 0.623)
C (0.929, 0.429, 0.500)
Se (0.369, 0.369, 0.385)
Se (0.369, 0.984, 0.000)
Se (0.608, 0.608, 0.000)
Se (0.984, 0.369, 0.000)
Se (0.984, 0.984, 0.615)


Record 8
LaTb2Gd | PBE | optimized geometry

Summary:
For the volume, the calculation gives 33.4 Å³/atom. The calculation puts the relative energy among the computed polymorphs at 0 meV per atom. Its space group is R-3m. The value obtained for the total magnetization is 7.40 μB/cell. The value obtained for the density is 7.63 g/cm3. The formation enthalpy at 0 K comes out at 0.02 eV per atom.

Cell: 11.961 11.961 11.961 Å, 17.41 17.41 17.41°
Atoms (fractional coordinates):
La (0.000, 0.000, 0.000)
Tb (0.249, 0.249, 0.249)
Tb (0.751, 0.751, 0.751)
Gd (0.500, 0.500, 0.500)


Record 9
ScI2N2 | PBE | optimized geometry

Summary:
For the volume, the calculation gives 21.4 Å³/atom. The calculation puts the relative energy among the computed polymorphs at 631 meV per atom. Its space group is I4/mmm. The value obtained for the total magnetization is 0.00 μB/cell. The value obtained for the density is 5.06 g/cm3. For the formation energy from raw total energies, the calculation gives 32.634 kcal/mol of atoms.

Cell: 5.625 5.625 5.625 Å, 128.06 128.06 76.53°
Atoms (fractional coordinates):
Sc (0.000, 0.000, 0.000)
I (0.306, 0.306, 0.000)
I (0.694, 0.694, 0.000)
N (0.250, 0.750, 0.500)
N (0.750, 0.250, 0.500)


Record 10
CrHgSb2I | PBE | optimized geometry

Summary:
For the volume, the calculation gives 30.0 Å³/atom. The calculation puts the relative energy among the computed polymorphs at 0 meV per atom. Its space group is P4/mmm. The value obtained for the total magnetization is 1.32 μB/cell. The value obtained for the density is 6.89 g/cm3. For the formation energy from raw total energies, the calculation gives 7.718 kcal/mol of atoms.

Cell: 5.065 5.065 5.855 Å, 90.00 90.00 90.00°
Atoms (fractional coordinates):
Cr (0.000, 0.000, 0.000)
Hg (0.500, 0.500, 0.500)
Sb (0.000, 0.500, 0.000)
Sb (0.500, 0.000, 0.000)
I (0.000, 0.000, 0.500)


Record 11
Sr2GePd6Au | PBE | optimized geometry

Summary:
For the volume, the calculation gives 21.6 Å³/atom. Its space group is P-1. The value obtained for the total magnetization is 0.00 μB/cell. The value obtained for the density is 8.32 g/cm3. The formation enthalpy at 0 K comes out at -0.52 eV per atom.

Cell: 5.528 6.616 7.060 Å, 81.68 67.06 65.45°
Atoms (fractional coordinates):
Sr (0.029, 0.239, 0.203)
Sr (0.971, 0.761, 0.797)
Ge (0.500, 0.000, 0.500)
Pd (0.016, 0.230, 0.730)
Pd (0.344, 0.409, 0.412)
Pd (0.479, 0.773, 0.266)
Pd (0.521, 0.227, 0.734)
Pd (0.656, 0.591, 0.588)
Pd (0.984, 0.770, 0.270)
Au (0.500, 0.500, 0.000)


Record 12
LiCa4U3N8 | PBE | optimized geometry

Summary:
For the volume, the calculation gives 14.7 Å³/atom. Its space group is R-3m. The value obtained for the total magnetization is 3.02 μB/cell. The value obtained for the density is 7.02 g/cm3. For the formation energy from raw total energies, the calculation gives -28.034 kcal/mol of atoms.

Cell: 6.907 6.907 6.907 Å, 60.35 60.35 60.35°
Atoms (fractional coordinates):
Li (0.000, 0.000, 0.000)
Ca (0.000, 0.000, 0.500)
Ca (0.000, 0.500, 0.000)
Ca (0.500, 0.000, 0.000)
Ca (0.500, 0.500, 0.500)
U (0.000, 0.500, 0.500)
U (0.500, 0.000, 0.500)
U (0.500, 0.500, 0.000)
N (0.252, 0.252, 0.707)
N (0.252, 0.707, 0.252)
N (0.260, 0.260, 0.260)
N (0.293, 0.748, 0.748)
N (0.707, 0.252, 0.252)
N (0.740, 0.740, 0.740)
N (0.748, 0.293, 0.748)
N (0.748, 0.748, 0.293)